{"formula": "PbAuF2", "functional": "GGA-PBEsol", "state": "optimized geometry", "cell": [[-1.415, 0.232, 2.870], [-0.944, -2.650, 1.541], [6.358, -1.281, 5.030]], "species": ["Pb", "F", "F", "Au"], "frac_coords": [[0.500, 0.500, 0.500], [0.915, 0.915, 0.255], [0.085, 0.085, 0.745], [0.000, 0.000, 0.000]], "total_energy_ev_per_atom": -3.95, "dos_ef_per_ev_cell": 0.8, "raw_formation_energy_kj_per_mol_atoms": -96.71}

---

{"formula": "MgReAu2", "functional": "GGA-PBEsol", "state": "optimized geometry", "cell": [[-1.494, 2.241, 0.366], [-0.275, -2.500, 4.096], [4.373, 2.731, 1.127]], "species": ["Au", "Au", "Mg", "Re"], "frac_coords": [[0.253, 0.506, 0.257], [0.747, 0.494, 0.743], [0.500, 0.000, 0.000], [0.000, 0.000, 0.500]], "total_energy_ev_per_atom": -5.46, "dos_ef_per_ev_cell": 3.2}

---

{"formula": "Sm2Se2O", "functional": "GGA-PBEsol", "state": "optimized geometry", "cell": [[-1.111, 3.374, -1.766], [-5.555, -3.317, -2.841], [-8.897, 3.834, 12.919]], "species": ["O", "O", "O", "O", "Sm", "Sm", "Sm", "Sm", "Sm", "Sm", "Sm", "Sm", "Se", "Se", "Se", "Se", "Se", "Se", "Se", "Se"], "frac_coords": [[0.250, 0.371, 0.031], [0.250, 0.129, 0.531], [0.750, 0.871, 0.469], [0.750, 0.629, 0.969], [0.250, 0.801, 0.538], [0.250, 0.240, 0.663], [0.750, 0.760, 0.337], [0.750, 0.301, 0.962], [0.750, 0.740, 0.837], [0.250, 0.260, 0.163], [0.750, 0.199, 0.462], [0.250, 0.699, 0.038], [0.250, 0.991, 0.900], [0.750, 0.946, 0.678], [0.750, 0.009, 0.100], [0.250, 0.446, 0.822], [0.250, 0.054, 0.322], [0.250, 0.509, 0.400], [0.750, 0.554, 0.178], [0.750, 0.491, 0.600]], "total_energy_ev_per_atom": -7.11, "dos_ef_per_ev_cell": 0.0, "e_above_lowest_polymorph_ev_per_atom": 0.010, "raw_formation_energy_kj_per_mol_atoms": -239.15}

---

{"formula": "Tl2ZnCrRu", "functional": "GGA-PBEsol", "state": "optimized geometry", "cell": [[4.503, 0.000, 0.000], [0.000, 5.225, 0.000], [0.000, 0.000, 5.225]], "species": ["Cr", "Tl", "Tl", "Zn", "Ru"], "frac_coords": [[0.500, 0.000, 0.000], [0.000, 0.500, 0.000], [0.000, 0.000, 0.500], [0.500, 0.500, 0.500], [0.000, 0.000, 0.000]], "total_energy_ev_per_atom": -4.65, "dos_ef_per_ev_cell": 2.1}

---

{"formula": "HgSb3Ru", "functional": "GGA-PBEsol", "state": "optimized geometry", "cell": [[5.332, 0.000, 0.000], [0.000, 5.332, 0.000], [0.000, 0.000, 5.332]], "species": ["Sb", "Sb", "Sb", "Hg", "Ru"], "frac_coords": [[0.500, 0.000, 0.000], [0.000, 0.000, 0.500], [0.000, 0.500, 0.000], [0.000, 0.000, 0.000], [0.500, 0.500, 0.500]], "total_energy_ev_per_atom": -3.22, "dos_ef_per_ev_cell": 8.2, "e_above_lowest_polymorph_ev_per_atom": 1.276, "raw_formation_energy_kj_per_mol_atoms": 160.82}

---

{"formula": "CuC8", "functional": "GGA-PBEsol", "state": "optimized geometry", "cell": [[4.704, 0.010, 0.016], [-1.594, 4.426, -0.016], [-1.594, -2.191, 3.846]], "species": ["C", "C", "C", "C", "C", "C", "C", "C", "Cu"], "frac_coords": [[0.632, 0.632, 0.000], [0.632, 0.000, 0.632], [0.494, 0.247, 0.247], [0.506, 0.753, 0.753], [0.000, 0.753, 0.247], [0.368, 0.368, 0.000], [0.000, 0.247, 0.753], [0.368, 0.000, 0.368], [0.000, 0.000, 0.000]], "total_energy_ev_per_atom": -7.31, "dos_ef_per_ev_cell": 3.1}